1:
# Sc2Cu2Pd

A crystal of Sc2Cu2Pd relaxed with PBEsol (meta-GGA SCAN, Alexandria via LeMat-Bulk).

Lattice parameters (Å, degrees): 8.076 8.076 8.076 156.42 156.42 33.60
Fractional positions:
Sc (0.104, 0.104, 0.000)
Sc (0.896, 0.896, 0.000)
Cu (0.250, 0.750, 0.500)
Cu (0.750, 0.250, 0.500)
Pd (0.500, 0.500, 0.000)

Its space group is I4/mmm. The spin magnetization comes out at 0.000 μB per formula unit.

2:
# Sc2Cu2Pd

A crystal of Sc2Cu2Pd relaxed with PBEsol (meta-GGA SCAN, Alexandria via LeMat-Bulk).

Lattice parameters (Å, degrees): 6.860 6.860 3.424 90.00 90.00 90.00
Fractional positions:
Sc (0.178, 0.322, 0.000)
Sc (0.322, 0.822, 0.000)
Sc (0.678, 0.178, 0.000)
Sc (0.822, 0.678, 0.000)
Cu (0.123, 0.623, 0.500)
Cu (0.377, 0.123, 0.500)
Cu (0.623, 0.877, 0.500)
Cu (0.877, 0.377, 0.500)
Pd (0.000, 0.000, 0.500)
Pd (0.500, 0.500, 0.500)

Its space group is P4/mbm. The spin magnetization comes out at 0.000 μB per formula unit.

Stability summary: most stable 2, least stable 1.